DFT (PBE-GGA) results for a geometry-optimized U5N4 structure.

a = 3.262 Å, b = 6.853 Å, c = 6.853 Å
α = 86.75°, β = 76.23°, γ = 76.23°
Each line ends with the local moment (μB).
Element x y z (fractional)
N1 0.121 0.099 0.658  -0.06
N2 0.779 0.342 0.099  -0.06
N3 0.221 0.658 0.901  -0.06
N4 0.879 0.901 0.342  -0.06
U1 0.000 0.000 0.000  0.91
U2 0.421 0.340 0.817  1.35
U3 0.761 0.817 0.660  1.35
U4 0.239 0.183 0.340  1.35
U5 0.579 0.660 0.183  1.35

The value obtained for the energy is -97.3 eV/f.u. The value obtained for the uncorrected formation energy is -81 kJ/mol of atoms.